[1]
DFT (GGA-PBE) results for an optimized crystal structure of AcNd2YTl2.

a = 4.917 Å, b = 9.626 Å, c = 8.587 Å
α = 90.00°, β = 90.00°, γ = 90.00°
Space group Pmc2_1 (No. 26)
Unique sites:
Ac1 0.000 0.083 0.000 x2
Nd1 0.000 0.325 0.383 x2
Nd2 0.500 0.420 0.051 x2
Y1 0.500 0.189 0.666 x2
Tl1 0.000 0.372 0.758 x2
Tl2 0.500 0.124 0.291 x2

Properties
final energy = -4.4024 eV/atom
DFT formation energy = -0.26 eV/atom

=====

[2]
DFT (GGA-PBE) results for an optimized crystal structure of LaSi.

a = 5.379 Å, b = 9.640 Å, c = 15.045 Å
α = 90.00°, β = 90.00°, γ = 90.00°
Space group Fddd (No. 70, origin choice 2)
Unique sites:
La1 0.125 0.288 0.125 x16
Si1 0.125 0.125 0.548 x16

Properties
final energy = -5.5398 eV/atom
formation energy from raw total energies = -0.365 eV/atom